Entry from the Open Quantum Materials Database: crystalline LiBeSiAu at its relaxed geometry (PBE).

The structure in CIF format:
```
data_LiBeSiAu
_chemical_formula_sum 'Li1 Be1 Si1 Au1'
_cell_length_a 4.1908
_cell_length_b 4.1908
_cell_length_c 4.1908
_cell_angle_alpha 60.00
_cell_angle_beta 60.00
_cell_angle_gamma 60.00
_space_group_name_H-M_alt 'P 1'
_space_group_IT_number 1
_space_group_name_Hall 'P 1'
loop_
_atom_site_label
_atom_site_type_symbol
_atom_site_fract_x
_atom_site_fract_y
_atom_site_fract_z
_atom_site_occupancy
Si1 Si 0.2500 0.2500 0.2500 1
Be1 Be 0.0000 0.0000 0.0000 1
Au1 Au 0.7500 0.7500 0.7500 1
Li1 Li 0.5000 0.5000 0.5000 1
```

Computed properties:
excess energy over the best structure of this formula in the dataset: 0.014 eV/atom
E: -3.64 eV per atom

Entry from the Open Quantum Materials Database: crystalline LiCdAsO at its relaxed geometry (PBE).

The structure in CIF format:
```
data_LiCdAsO
_chemical_formula_sum 'Li2 Cd2 As2 O2'
_cell_length_a 4.0101
_cell_length_b 4.0101
_cell_length_c 7.5886
_cell_angle_alpha 90.00
_cell_angle_beta 90.00
_cell_angle_gamma 90.00
_space_group_name_H-M_alt 'P 1'
_space_group_IT_number 1
_space_group_name_Hall 'P 1'
loop_
_atom_site_label
_atom_site_type_symbol
_atom_site_fract_x
_atom_site_fract_y
_atom_site_fract_z
_atom_site_occupancy
As1 As 0.0000 0.5000 0.2289 1
As2 As 0.5000 0.0000 0.7711 1
O1 O 0.0000 0.0000 0.0000 1
O2 O 0.5000 0.5000 0.0000 1
Li1 Li 0.5000 0.0000 0.0911 1
Li2 Li 0.0000 0.5000 0.9089 1
Cd1 Cd 0.5000 0.5000 0.5000 1
Cd2 Cd 0.0000 0.0000 0.5000 1
```

Computed properties:
excess energy over the best structure of this formula in the dataset: 0.476 eV/atom
E: -3.41 eV per atom

Entry from the Open Quantum Materials Database: crystalline TbDyRe at its relaxed geometry (PBE).

The structure in CIF format:
```
data_TbDyRe
_chemical_formula_sum 'Tb1 Dy1 Re1'
_cell_length_a 4.7690
_cell_length_b 4.7690
_cell_length_c 4.7690
_cell_angle_alpha 60.00
_cell_angle_beta 60.00
_cell_angle_gamma 60.00
_space_group_name_H-M_alt 'P 1'
_space_group_IT_number 1
_space_group_name_Hall 'P 1'
loop_
_atom_site_label
_atom_site_type_symbol
_atom_site_fract_x
_atom_site_fract_y
_atom_site_fract_z
_atom_site_occupancy
Dy1 Dy 0.0000 0.0000 0.0000 1
Tb1 Tb 0.7500 0.7500 0.7500 1
Re1 Re 0.2500 0.2500 0.2500 1
```

Computed properties:
spin magnetization: 0.0 μB per formula unit
formation energy from the elements: 1.1349 eV per atom
E: -6.08 eV per atom

Entry from the Open Quantum Materials Database: crystalline ZnC2N2 at its relaxed geometry (PBE).

The structure in CIF format:
```
data_ZnC2N2
_chemical_formula_sum 'Zn16 C32 N32'
_cell_length_a 13.9608
_cell_length_b 13.9608
_cell_length_c 13.9608
_cell_angle_alpha 90.00
_cell_angle_beta 90.00
_cell_angle_gamma 90.00
_space_group_name_H-M_alt 'P 1'
_space_group_IT_number 1
_space_group_name_Hall 'P 1'
loop_
_atom_site_label
_atom_site_type_symbol
_atom_site_fract_x
_atom_site_fract_y
_atom_site_fract_z
_atom_site_occupancy
N1 N 0.4746 0.0254 0.9746 1
N2 N 0.8646 0.9724 0.7843 1
N3 N 0.4724 0.7157 0.1354 1
N4 N 0.0276 0.2843 0.6354 1
N5 N 0.9724 0.7843 0.8646 1
N6 N 0.7839 0.3579 0.0281 1
N7 N 0.2843 0.6354 0.0276 1
N8 N 0.0289 0.0289 0.0289 1
N9 N 0.6421 0.5281 0.7161 1
N10 N 0.9719 0.2839 0.1421 1
N11 N 0.7161 0.6421 0.5281 1
N12 N 0.2839 0.1421 0.9719 1
N13 N 0.8579 0.4719 0.2161 1
N14 N 0.3579 0.0281 0.7839 1
N15 N 0.4711 0.9711 0.5289 1
N16 N 0.5254 0.5254 0.5254 1
N17 N 0.6354 0.0276 0.2843 1
N18 N 0.2157 0.3646 0.5276 1
N19 N 0.5281 0.7161 0.6421 1
N20 N 0.7157 0.1354 0.4724 1
N21 N 0.9746 0.4746 0.0254 1
N22 N 0.4719 0.2161 0.8579 1
N23 N 0.5276 0.2157 0.3646 1
N24 N 0.1421 0.9719 0.2839 1
N25 N 0.5289 0.4711 0.9711 1
N26 N 0.0281 0.7839 0.3579 1
N27 N 0.0254 0.9746 0.4746 1
N28 N 0.9711 0.5289 0.4711 1
N29 N 0.1354 0.4724 0.7157 1
N30 N 0.3646 0.5276 0.2157 1
N31 N 0.2161 0.8579 0.4719 1
N32 N 0.7843 0.8646 0.9724 1
C1 C 0.2215 0.1385 0.0271 1
C2 C 0.0192 0.4808 0.5192 1
C3 C 0.7785 0.6385 0.4729 1
C4 C 0.7215 0.3615 0.9729 1
C5 C 0.0271 0.2215 0.1385 1
C6 C 0.3615 0.9729 0.7215 1
C7 C 0.5271 0.2785 0.8615 1
C8 C 0.2201 0.6322 0.9742 1
C9 C 0.9772 0.0228 0.5228 1
C10 C 0.9808 0.9808 0.9808 1
C11 C 0.1385 0.0271 0.2215 1
C12 C 0.6322 0.9742 0.2201 1
C13 C 0.5228 0.9772 0.0228 1
C14 C 0.4742 0.2799 0.3678 1
C15 C 0.5192 0.0192 0.4808 1
C16 C 0.7201 0.8678 0.0258 1
C17 C 0.9729 0.7215 0.3615 1
C18 C 0.0228 0.5228 0.9772 1
C19 C 0.1322 0.5258 0.7799 1
C20 C 0.2799 0.3678 0.4742 1
C21 C 0.2785 0.8615 0.5271 1
C22 C 0.7799 0.1322 0.5258 1
C23 C 0.5258 0.7799 0.1322 1
C24 C 0.9742 0.2201 0.6322 1
C25 C 0.4729 0.7785 0.6385 1
C26 C 0.8615 0.5271 0.2785 1
C27 C 0.8678 0.0258 0.7201 1
C28 C 0.4772 0.4772 0.4772 1
C29 C 0.0258 0.7201 0.8678 1
C30 C 0.3678 0.4742 0.2799 1
C31 C 0.6385 0.4729 0.7785 1
C32 C 0.4808 0.5192 0.0192 1
Zn1 Zn 0.3944 0.3944 0.3944 1
Zn2 Zn 0.8933 0.3933 0.1067 1
Zn3 Zn 0.1010 0.3990 0.6010 1
Zn4 Zn 0.8990 0.8990 0.8990 1
Zn5 Zn 0.6056 0.8944 0.1056 1
Zn6 Zn 0.6117 0.3883 0.8883 1
Zn7 Zn 0.8883 0.6117 0.3883 1
Zn8 Zn 0.3933 0.1067 0.8933 1
Zn9 Zn 0.8944 0.1056 0.6056 1
Zn10 Zn 0.3883 0.8883 0.6117 1
Zn11 Zn 0.1067 0.8933 0.3933 1
Zn12 Zn 0.6067 0.6067 0.6067 1
Zn13 Zn 0.1117 0.1117 0.1117 1
Zn14 Zn 0.3990 0.6010 0.1010 1
Zn15 Zn 0.6010 0.1010 0.3990 1
Zn16 Zn 0.1056 0.6056 0.8944 1
```

Computed properties:
E: -7.06 eV per atom

Entry from the Open Quantum Materials Database: crystalline LaTmAl4Ni2 at its relaxed geometry (PBE).

The structure in CIF format:
```
data_LaTmAl4Ni2
_chemical_formula_sum 'La1 Tm1 Al4 Ni2'
_cell_length_a 6.9697
_cell_length_b 5.5461
_cell_length_c 5.5461
_cell_angle_alpha 43.49
_cell_angle_beta 90.00
_cell_angle_gamma 90.00
_space_group_name_H-M_alt 'P 1'
_space_group_IT_number 1
_space_group_name_Hall 'P 1'
loop_
_atom_site_label
_atom_site_type_symbol
_atom_site_fract_x
_atom_site_fract_y
_atom_site_fract_z
_atom_site_occupancy
Ni1 Ni 0.0000 0.2829 0.2829 1
Ni2 Ni 0.5000 0.7153 0.7153 1
Al1 Al 0.3124 0.1599 0.1599 1
Al2 Al 0.7979 0.8421 0.8421 1
Al3 Al 0.6876 0.1599 0.1599 1
Al4 Al 0.2021 0.8421 0.8421 1
Tm1 Tm 0.5000 0.4385 0.4385 1
La1 La 0.0000 0.5593 0.5593 1
```

Computed properties:
spin magnetization: 0.0 μB per formula unit
E: -5.03 eV per atom

Entry from the Open Quantum Materials Database: crystalline YZnFe2 at its relaxed geometry (PBE).

The structure in CIF format:
```
data_YZnFe2
_chemical_formula_sum 'Y1 Zn1 Fe2'
_cell_length_a 4.5269
_cell_length_b 4.5269
_cell_length_c 4.5269
_cell_angle_alpha 60.00
_cell_angle_beta 60.00
_cell_angle_gamma 60.00
_space_group_name_H-M_alt 'P 1'
_space_group_IT_number 1
_space_group_name_Hall 'P 1'
loop_
_atom_site_label
_atom_site_type_symbol
_atom_site_fract_x
_atom_site_fract_y
_atom_site_fract_z
_atom_site_occupancy
Fe1 Fe 0.0000 0.0000 0.0000 1
Fe2 Fe 0.7500 0.7500 0.7500 1
Zn1 Zn 0.5000 0.5000 0.5000 1
Y1 Y 0.2500 0.2500 0.2500 1
```

Computed properties:
spin magnetization: 4.4 μB per formula unit
formation energy from the elements: 0.1637 eV per atom
E: -5.92 eV per atom

Entry from the Open Quantum Materials Database: crystalline KCd2P3O10 at its relaxed geometry (PBE).

The structure in CIF format:
```
data_KCd2P3O10
_chemical_formula_sum 'K2 Cd4 P6 O20'
_cell_length_a 5.3309
_cell_length_b 11.9600
_cell_length_c 6.7473
_cell_angle_alpha 90.00
_cell_angle_beta 106.89
_cell_angle_gamma 90.00
_space_group_name_H-M_alt 'P 1'
_space_group_IT_number 1
_space_group_name_Hall 'P 1'
loop_
_atom_site_label
_atom_site_type_symbol
_atom_site_fract_x
_atom_site_fract_y
_atom_site_fract_z
_atom_site_occupancy
O1 O 0.5842 0.4550 0.8052 1
O2 O 0.1722 0.3698 0.0169 1
O3 O 0.0977 0.4391 0.3465 1
O4 O 0.9023 0.5609 0.6535 1
O5 O 0.5424 0.3560 0.3483 1
O6 O 0.4576 0.6440 0.6517 1
O7 O 0.8278 0.8698 0.9831 1
O8 O 0.1400 0.7500 0.3743 1
O9 O 0.9023 0.9391 0.6535 1
O10 O 0.3713 0.2500 0.6106 1
O11 O 0.8278 0.6302 0.9831 1
O12 O 0.4158 0.9550 0.1948 1
O13 O 0.1722 0.1302 0.0169 1
O14 O 0.8600 0.2500 0.6257 1
O15 O 0.5424 0.1440 0.3483 1
O16 O 0.6287 0.7500 0.3894 1
O17 O 0.4576 0.8560 0.6517 1
O18 O 0.5842 0.0450 0.8052 1
O19 O 0.4158 0.5450 0.1948 1
O20 O 0.0977 0.0609 0.3465 1
Cd1 Cd 0.1566 0.0954 0.6921 1
Cd2 Cd 0.1566 0.4046 0.6921 1
Cd3 Cd 0.8434 0.9046 0.3079 1
Cd4 Cd 0.8434 0.5954 0.3079 1
P1 P 0.7087 0.5661 0.7847 1
P2 P 0.2913 0.0661 0.2153 1
P3 P 0.4235 0.7500 0.5032 1
P4 P 0.7087 0.9339 0.7847 1
P5 P 0.5765 0.2500 0.4968 1
P6 P 0.2913 0.4339 0.2153 1
K1 K 0.7446 0.2500 0.0239 1
K2 K 0.2554 0.7500 0.9761 1
```

Computed properties:
E: -6.31 eV per atom

Entry from the Open Quantum Materials Database: crystalline Lu2Ag3Hg3O12 at its relaxed geometry (PBE).

The structure in CIF format:
```
data_Lu2Ag3Hg3O12
_chemical_formula_sum 'Lu8 Ag12 Hg12 O48'
_cell_length_a 11.2061
_cell_length_b 11.2061
_cell_length_c 11.2061
_cell_angle_alpha 109.47
_cell_angle_beta 109.47
_cell_angle_gamma 109.47
_space_group_name_H-M_alt 'P 1'
_space_group_IT_number 1
_space_group_name_Hall 'P 1'
loop_
_atom_site_label
_atom_site_type_symbol
_atom_site_fract_x
_atom_site_fract_y
_atom_site_fract_z
_atom_site_occupancy
O1 O 0.3813 0.5503 0.6100 1
O2 O 0.9497 0.8900 0.6187 1
O3 O 0.6100 0.2287 0.5597 1
O4 O 0.1187 0.2287 0.6690 1
O5 O 0.2713 0.9403 0.3900 1
O6 O 0.8310 0.0597 0.4497 1
O7 O 0.8900 0.4403 0.7713 1
O8 O 0.6187 0.6690 0.2287 1
O9 O 0.5503 0.6690 0.4403 1
O10 O 0.4497 0.6187 0.8900 1
O11 O 0.2287 0.6100 0.0597 1
O12 O 0.5597 0.9497 0.8310 1
O13 O 0.0597 0.7287 0.1100 1
O14 O 0.6100 0.8813 0.0503 1
O15 O 0.4403 0.0503 0.1690 1
O16 O 0.1100 0.0503 0.8813 1
O17 O 0.8310 0.2713 0.3813 1
O18 O 0.9497 0.5597 0.3310 1
O19 O 0.6690 0.5503 0.9403 1
O20 O 0.0503 0.1100 0.3813 1
O21 O 0.5503 0.3813 0.1100 1
O22 O 0.9403 0.1690 0.0503 1
O23 O 0.7713 0.8813 0.8310 1
O24 O 0.7713 0.3900 0.9403 1
O25 O 0.6690 0.6187 0.7287 1
O26 O 0.4403 0.8900 0.2713 1
O27 O 0.1187 0.3900 0.4497 1
O28 O 0.3310 0.4497 0.0597 1
O29 O 0.5597 0.1100 0.7287 1
O30 O 0.8813 0.6100 0.5503 1
O31 O 0.8900 0.9497 0.1187 1
O32 O 0.3900 0.1187 0.9497 1
O33 O 0.2713 0.8310 0.8813 1
O34 O 0.1690 0.7287 0.6187 1
O35 O 0.3900 0.7713 0.4403 1
O36 O 0.9403 0.2713 0.8900 1
O37 O 0.7287 0.0597 0.6100 1
O38 O 0.7287 0.1690 0.1187 1
O39 O 0.4497 0.3310 0.5597 1
O40 O 0.8813 0.7713 0.3310 1
O41 O 0.1690 0.9403 0.5503 1
O42 O 0.3813 0.3310 0.7713 1
O43 O 0.6187 0.4497 0.3900 1
O44 O 0.0503 0.4403 0.6690 1
O45 O 0.2287 0.1187 0.1690 1
O46 O 0.1100 0.5597 0.2287 1
O47 O 0.0597 0.8310 0.9497 1
O48 O 0.3310 0.3813 0.2713 1
Hg1 Hg 0.8750 0.6250 0.7500 1
Hg2 Hg 0.1250 0.3750 0.2500 1
Hg3 Hg 0.7500 0.8750 0.6250 1
Hg4 Hg 0.3750 0.7500 0.6250 1
Hg5 Hg 0.8750 0.7500 0.1250 1
Hg6 Hg 0.2500 0.1250 0.3750 1
Hg7 Hg 0.7500 0.3750 0.1250 1
Hg8 Hg 0.2500 0.6250 0.8750 1
Hg9 Hg 0.6250 0.8750 0.2500 1
Hg10 Hg 0.1250 0.2500 0.8750 1
Hg11 Hg 0.6250 0.2500 0.3750 1
Hg12 Hg 0.3750 0.1250 0.7500 1
Lu1 Lu 0.5000 0.5000 0.0000 1
Lu2 Lu 0.5000 0.0000 0.0000 1
Lu3 Lu 0.0000 0.0000 0.5000 1
Lu4 Lu 0.0000 0.5000 0.0000 1
Lu5 Lu 0.0000 0.0000 0.0000 1
Lu6 Lu 0.0000 0.5000 0.5000 1
Lu7 Lu 0.5000 0.5000 0.5000 1
Lu8 Lu 0.5000 0.0000 0.5000 1
Ag1 Ag 0.6250 0.3750 0.7500 1
Ag2 Ag 0.2500 0.8750 0.1250 1
Ag3 Ag 0.7500 0.1250 0.8750 1
Ag4 Ag 0.8750 0.2500 0.6250 1
Ag5 Ag 0.2500 0.3750 0.6250 1
Ag6 Ag 0.8750 0.1250 0.2500 1
Ag7 Ag 0.7500 0.6250 0.3750 1
Ag8 Ag 0.1250 0.7500 0.3750 1
Ag9 Ag 0.3750 0.6250 0.2500 1
Ag10 Ag 0.3750 0.2500 0.1250 1
Ag11 Ag 0.6250 0.7500 0.8750 1
Ag12 Ag 0.1250 0.8750 0.7500 1
```

Computed properties:
spin magnetization: 0.0 μB per formula unit
E: -4.44 eV per atom

Entry from the Open Quantum Materials Database: crystalline Al2Tl2Cu at its relaxed geometry (PBE).

The structure in CIF format:
```
data_Al2Tl2Cu
_chemical_formula_sum 'Al4 Tl4 Cu2'
_cell_length_a 4.6975
_cell_length_b 4.6975
_cell_length_c 10.7784
_cell_angle_alpha 90.00
_cell_angle_beta 90.00
_cell_angle_gamma 111.97
_space_group_name_H-M_alt 'P 1'
_space_group_IT_number 1
_space_group_name_Hall 'P 1'
loop_
_atom_site_label
_atom_site_type_symbol
_atom_site_fract_x
_atom_site_fract_y
_atom_site_fract_z
_atom_site_occupancy
Cu1 Cu 0.1762 0.8238 0.2500 1
Cu2 Cu 0.8238 0.1762 0.7500 1
Al1 Al 0.4645 0.5355 0.3728 1
Al2 Al 0.4645 0.5355 0.1272 1
Al3 Al 0.5355 0.4645 0.6272 1
Al4 Al 0.5355 0.4645 0.8728 1
Tl1 Tl 0.1707 0.8293 0.5928 1
Tl2 Tl 0.8293 0.1707 0.4072 1
Tl3 Tl 0.8293 0.1707 0.0928 1
Tl4 Tl 0.1707 0.8293 0.9072 1
```

Computed properties:
E: -2.84 eV per atom

Entry from the Open Quantum Materials Database: crystalline LuHfNi2As2 at its relaxed geometry (PBE).

The structure in CIF format:
```
data_LuHfNi2As2
_chemical_formula_sum 'Lu2 Hf2 Ni4 As4'
_cell_length_a 3.9640
_cell_length_b 3.9640
_cell_length_c 14.5174
_cell_angle_alpha 90.00
_cell_angle_beta 90.00
_cell_angle_gamma 120.00
_space_group_name_H-M_alt 'P 1'
_space_group_IT_number 1
_space_group_name_Hall 'P 1'
loop_
_atom_site_label
_atom_site_type_symbol
_atom_site_fract_x
_atom_site_fract_y
_atom_site_fract_z
_atom_site_occupancy
As1 As 0.6667 0.3333 0.6147 1
As2 As 0.3333 0.6667 0.3853 1
As3 As 0.3333 0.6667 0.1147 1
As4 As 0.6667 0.3333 0.8853 1
Lu1 Lu 0.0000 0.0000 0.2500 1
Lu2 Lu 0.0000 0.0000 0.7500 1
Ni1 Ni 0.6667 0.3333 0.3703 1
Ni2 Ni 0.3333 0.6667 0.6297 1
Ni3 Ni 0.3333 0.6667 0.8703 1
Ni4 Ni 0.6667 0.3333 0.1297 1
Hf1 Hf 0.0000 0.0000 0.0000 1
Hf2 Hf 0.0000 0.0000 0.5000 1
```

Computed properties:
excess energy over the best structure of this formula in the dataset: 0.080 eV/atom
spin magnetization: 0.0 μB per formula unit
E: -6.70 eV per atom

Entry from the Open Quantum Materials Database: crystalline LuNbZn at its relaxed geometry (PBE).

The structure in CIF format:
```
data_LuNbZn
_chemical_formula_sum 'Lu1 Nb1 Zn1'
_cell_length_a 4.6502
_cell_length_b 4.6502
_cell_length_c 4.6502
_cell_angle_alpha 60.00
_cell_angle_beta 60.00
_cell_angle_gamma 60.00
_space_group_name_H-M_alt 'P 1'
_space_group_IT_number 1
_space_group_name_Hall 'P 1'
loop_
_atom_site_label
_atom_site_type_symbol
_atom_site_fract_x
_atom_site_fract_y
_atom_site_fract_z
_atom_site_occupancy
Zn1 Zn 0.7500 0.7500 0.7500 1
Nb1 Nb 0.0000 0.0000 0.0000 1
Lu1 Lu 0.2500 0.2500 0.2500 1
```

Computed properties:
excess energy over the best structure of this formula in the dataset: 0.000 eV/atom
spin magnetization: 2.1 μB per formula unit
formation energy from the elements: 0.8715 eV per atom
E: -4.42 eV per atom

Entry from the Open Quantum Materials Database: crystalline CsAgTe3Mo at its relaxed geometry (PBE).

The structure in CIF format:
```
data_CsAgTe3Mo
_chemical_formula_sum 'Cs2 Ag2 Te6 Mo2'
_cell_length_a 9.4228
_cell_length_b 4.1705
_cell_length_c 11.0498
_cell_angle_alpha 90.00
_cell_angle_beta 114.84
_cell_angle_gamma 90.00
_space_group_name_H-M_alt 'P 1'
_space_group_IT_number 1
_space_group_name_Hall 'P 1'
loop_
_atom_site_label
_atom_site_type_symbol
_atom_site_fract_x
_atom_site_fract_y
_atom_site_fract_z
_atom_site_occupancy
Ag1 Ag 0.4317 0.7500 0.8919 1
Ag2 Ag 0.5683 0.2500 0.1081 1
Te1 Te 0.9731 0.7500 0.6216 1
Te2 Te 0.7593 0.7500 0.0757 1
Te3 Te 0.6242 0.2500 0.3736 1
Te4 Te 0.3758 0.7500 0.6264 1
Te5 Te 0.0269 0.2500 0.3784 1
Te6 Te 0.2407 0.2500 0.9243 1
Cs1 Cs 0.2483 0.7500 0.2223 1
Cs2 Cs 0.7517 0.2500 0.7777 1
Mo1 Mo 0.8068 0.7500 0.3388 1
Mo2 Mo 0.1932 0.2500 0.6612 1
```

Computed properties:
excess energy over the best structure of this formula in the dataset: 0.000 eV/atom
spin magnetization: 2.0 μB per formula unit
E: -4.30 eV per atom